Computed, not measured: Hg3HN at its PBEsol-relaxed geometry at the SCAN level of DFT.

POSCAR file:
```
Hg3HN
1.0
-2.3609 -2.3250 2.8849
1.0760 -3.7035 -2.1042
3.5455 -0.4242 2.5596
Hg H N
3 1 1
Direct
0.0000 0.0000 0.5000
0.0000 0.5000 0.0000
0.5000 0.0000 0.0000
0.0000 0.0000 0.0000
0.5000 0.5000 0.5000
```

Output
- uncorrected energy (eV per atom) = -42.19